VASP calculation (PBE-GGA) on Ho5SbTe5 after structural relaxation.

POSCAR file:
```
Ho5SbTe5
1.0
6.818 -3.068 0.000
6.818 3.068 0.000
-2.723 0.000 8.186
Ho Sb Te
5 1 5
Direct
0.000 0.000 0.000 Ho
0.336 0.336 0.168 Ho
0.337 0.337 0.668 Ho
0.663 0.663 0.332 Ho
0.664 0.664 0.832 Ho
0.500 0.500 0.000 Sb
0.164 0.164 0.337 Te
0.165 0.165 0.828 Te
0.500 0.500 0.500 Te
0.835 0.835 0.172 Te
0.836 0.836 0.663 Te
```

Output
- total DFT energy (no corrections) (eV/cell) = -57.41
- magnetization (μB per atom) = 0.00
- crystal system = monoclinic
- space group = C2/m